Version one
First-principles (PBE) data for crystalline Na3HfO at its relaxed geometry, as listed in Alexandria.

Output
- Spin magnetization: 0.00 μB per cell
- ρ: 4.08 Mg/m³

a b c (Å): 4.750 4.750 4.750
angles (deg): 90.00 90.00 90.00
Sites, in units of the cell vectors:
1 Na 0.000 0.500 0.000
2 Na 0.000 0.000 0.500
3 Na 0.500 0.000 0.000
4 Hf 0.500 0.500 0.500
5 O 0.000 0.000 0.000

Version two
First-principles (PBE) data for crystalline Na3HfO at its relaxed geometry, as listed in Alexandria.

Output
- Spin magnetization: 3.00 μB per cell
- ρ: 1.87 Mg/m³

a b c (Å): 6.162 6.162 6.162
angles (deg): 90.00 90.00 90.00
Each line ends with the local moment (μB).
Sites, in units of the cell vectors:
1 Na 0.000 0.500 0.000  0.07
2 Na 0.000 0.000 0.500  0.05
3 Na 0.500 0.000 0.000  0.09
4 Hf 0.000 0.000 0.000  1.74
5 O 0.500 0.500 0.500  -0.91

Most stable = version one

Version one
First-principles (PBE) data for crystalline NaHf2O4 at its relaxed geometry, as listed in Alexandria.

Output
- Spin magnetization: 0.00 μB per cell
- ρ: 7.63 Mg/m³

a b c (Å): 6.485 6.485 6.487
angles (deg): 119.88 119.88 90.20
Sites, in units of the cell vectors:
1 Na 0.250 0.750 0.500
2 Na 0.000 0.000 0.000
3 Hf 0.625 0.375 0.750
4 Hf 0.625 0.875 0.250
5 Hf 0.625 0.375 0.250
6 Hf 0.125 0.375 0.750
7 O 0.858 0.144 0.286
8 O 0.392 0.606 0.214
9 O 0.858 0.572 0.713
10 O 0.856 0.142 0.714
11 O 0.428 0.142 0.287
12 O 0.392 0.178 0.787
13 O 0.394 0.608 0.786
14 O 0.822 0.608 0.213

Version two
First-principles (PBE) data for crystalline NaHf2O4 at its relaxed geometry, as listed in Alexandria.

Output
- Spin magnetization: 0.00 μB per cell
- ρ: 8.51 Mg/m³

a b c (Å): 3.178 5.398 10.569
angles (deg): 90.00 90.00 107.12
Sites, in units of the cell vectors:
1 Na 0.616 0.232 0.750
2 Na 0.384 0.768 0.250
3 Hf 0.128 0.256 0.429
4 Hf 0.872 0.744 0.929
5 Hf 0.128 0.256 0.071
6 Hf 0.872 0.744 0.571
7 O 0.765 0.530 0.104
8 O 0.765 0.530 0.396
9 O 0.235 0.470 0.896
10 O 0.235 0.470 0.604
11 O 0.941 0.882 0.750
12 O 0.059 0.118 0.250
13 O 0.500 0.000 0.000
14 O 0.500 0.000 0.500

Most stable = version two

Version one
First-principles (PBE) data for crystalline Na2HfOs at its relaxed geometry, as listed in Alexandria.

Output
- Spin magnetization: 0.00 μB per cell
- ρ: 8.21 Mg/m³

a b c (Å): 3.796 3.796 11.940
angles (deg): 80.85 80.85 90.00
Sites, in units of the cell vectors:
1 Hf 0.500 0.500 0.000
2 Hf 0.250 0.750 0.500
3 Os 0.000 0.000 0.000
4 Os 0.750 0.250 0.500
5 Na 0.643 0.125 0.250
6 Na 0.107 0.625 0.250
7 Na 0.375 0.357 0.750
8 Na 0.875 0.893 0.750

Version two
First-principles (PBE) data for crystalline Na2HfOs at its relaxed geometry, as listed in Alexandria.

Output
- Spin magnetization: 0.00 μB per cell
- ρ: 9.13 Mg/m³

a b c (Å): 4.742 4.742 4.742
angles (deg): 60.00 60.00 60.00
Sites, in units of the cell vectors:
1 Hf 0.000 0.000 0.000
2 Os 0.500 0.500 0.500
3 Na 0.250 0.250 0.250
4 Na 0.750 0.750 0.750

Most stable = version one

Version one
First-principles (PBE) data for crystalline NaHfOs2 at its relaxed geometry, as listed in Alexandria.

Output
- Spin magnetization: 0.00 μB per cell
- ρ: 14.49 Mg/m³

a b c (Å): 4.552 4.552 4.552
angles (deg): 60.00 60.00 60.00
Sites, in units of the cell vectors:
1 Hf 0.500 0.500 0.500
2 Os 0.250 0.250 0.250
3 Os 0.750 0.750 0.750
4 Na 0.000 0.000 0.000

Version two
First-principles (PBE) data for crystalline NaHfOs2 at its relaxed geometry, as listed in Alexandria.

Output
- Spin magnetization: 0.00 μB per cell
- ρ: 13.16 Mg/m³

a b c (Å): 7.465 7.465 5.900
angles (deg): 50.75 50.75 90.00
Sites, in units of the cell vectors:
1 Hf 0.000 0.000 0.000
2 Hf 0.750 0.250 0.500
3 Os 0.636 0.125 0.250
4 Os 0.114 0.625 0.250
5 Os 0.375 0.364 0.750
6 Os 0.875 0.886 0.750
7 Na 0.500 0.500 0.000
8 Na 0.250 0.750 0.500

Most stable = version one

Version one
First-principles (PBE) data for crystalline Na3HfP at its relaxed geometry, as listed in Alexandria.

Output
- Spin magnetization: 2.00 μB per cell
- ρ: 2.21 Mg/m³

a b c (Å): 5.938 5.938 5.938
angles (deg): 90.00 90.00 90.00
Each line ends with the local moment (μB).
Sites, in units of the cell vectors:
1 P 0.500 0.500 0.500  -0.56
2 Hf 0.000 0.000 0.000  1.63
3 Na 0.000 0.500 0.000  0.05
4 Na 0.000 0.000 0.500  0.04
5 Na 0.500 0.000 0.000  0.07

Version two
First-principles (PBE) data for crystalline Na3HfP at its relaxed geometry, as listed in Alexandria.

Output
- Spin magnetization: 2.00 μB per cell
- ρ: 3.00 Mg/m³

a b c (Å): 5.359 5.359 5.359
angles (deg): 90.00 90.00 90.00
Each line ends with the local moment (μB).
Sites, in units of the cell vectors:
1 P 0.000 0.000 0.000  -0.08
2 Hf 0.500 0.500 0.500  1.16
3 Na 0.000 0.500 0.000  0.01
4 Na 0.000 0.000 0.500  0.01
5 Na 0.500 0.000 0.000  0.00

Most stable = version two

Version one
First-principles (PBE) data for crystalline NaHfP2S at its relaxed geometry, as listed in Alexandria.

Output
- Spin magnetization: 0.00 μB per cell
- ρ: 4.84 Mg/m³

a b c (Å): 4.629 4.629 4.732
angles (deg): 90.00 90.00 90.00
Sites, in units of the cell vectors:
1 P 0.000 0.500 0.000
2 P 0.500 0.000 0.000
3 S 0.000 0.000 0.500
4 Hf 0.500 0.500 0.500
5 Na 0.000 0.000 0.000

Version two
First-principles (PBE) data for crystalline NaHfP2S at its relaxed geometry, as listed in Alexandria.

Output
- Spin magnetization: 0.00 μB per cell
- ρ: 3.90 Mg/m³

a b c (Å): 5.023 5.023 4.986
angles (deg): 90.00 90.00 90.00
Sites, in units of the cell vectors:
1 P 0.000 0.500 0.000
2 P 0.500 0.000 0.000
3 S 0.000 0.000 0.500
4 Hf 0.000 0.000 0.000
5 Na 0.500 0.500 0.500

Most stable = version two

Version one
First-principles (PBE) data for crystalline NaHf3Pd at its relaxed geometry, as listed in Alexandria.

Output
- Spin magnetization: 0.00 μB per cell
- ρ: 8.27 Mg/m³

a b c (Å): 5.111 5.111 5.111
angles (deg): 90.00 90.00 90.00
Sites, in units of the cell vectors:
1 Na 0.500 0.500 0.500
2 Hf 0.000 0.500 0.000
3 Hf 0.000 0.000 0.500
4 Hf 0.500 0.000 0.000
5 Pd 0.000 0.000 0.000

Version two
First-principles (PBE) data for crystalline NaHf3Pd at its relaxed geometry, as listed in Alexandria.

Output
- Spin magnetization: 0.00 μB per cell
- ρ: 9.58 Mg/m³

a b c (Å): 4.867 4.867 4.867
angles (deg): 90.00 90.00 90.00
Sites, in units of the cell vectors:
1 Na 0.000 0.000 0.000
2 Hf 0.000 0.500 0.000
3 Hf 0.000 0.000 0.500
4 Hf 0.500 0.000 0.000
5 Pd 0.500 0.500 0.500

Most stable = version one

Version one
First-principles (PBE) data for crystalline Na3HfPd at its relaxed geometry, as listed in Alexandria.

Output
- Spin magnetization: 0.00 μB per cell
- ρ: 4.12 Mg/m³

a b c (Å): 5.227 5.227 5.227
angles (deg): 90.00 90.00 90.00
Sites, in units of the cell vectors:
1 Na 0.000 0.500 0.000
2 Na 0.000 0.000 0.500
3 Na 0.500 0.000 0.000
4 Hf 0.500 0.500 0.500
5 Pd 0.000 0.000 0.000

Version two
First-principles (PBE) data for crystalline Na3HfPd at its relaxed geometry, as listed in Alexandria.

Output
- Spin magnetization: 3.06 μB per cell
- ρ: 2.74 Mg/m³

a b c (Å): 5.985 5.985 5.985
angles (deg): 90.00 90.00 90.00
Each line ends with the local moment (μB).
Sites, in units of the cell vectors:
1 Na 0.000 0.500 0.000  0.05
2 Na 0.000 0.000 0.500  0.04
3 Na 0.500 0.000 0.000  0.06
4 Hf 0.000 0.000 0.000  1.58
5 Pd 0.500 0.500 0.500  -0.12

Most stable = version one

Version one
First-principles (PBE) data for crystalline NaHf2Pt at its relaxed geometry, as listed in Alexandria.

Output
- Spin magnetization: 0.00 μB per cell
- ρ: 12.37 Mg/m³

a b c (Å): 4.779 4.779 4.779
angles (deg): 60.00 60.00 60.00
Sites, in units of the cell vectors:
1 Na 0.000 0.000 0.000
2 Hf 0.250 0.250 0.250
3 Hf 0.750 0.750 0.750
4 Pt 0.500 0.500 0.500

Version two
First-principles (PBE) data for crystalline NaHf2Pt at its relaxed geometry, as listed in Alexandria.

Output
- Spin magnetization: 0.00 μB per cell
- ρ: 10.36 Mg/m³

a b c (Å): 7.903 7.903 6.320
angles (deg): 51.30 51.30 90.00
Sites, in units of the cell vectors:
1 Na 0.500 0.500 0.000
2 Na 0.250 0.750 0.500
3 Hf 0.681 0.125 0.250
4 Hf 0.069 0.625 0.250
5 Hf 0.375 0.319 0.750
6 Hf 0.875 0.931 0.750
7 Pt 0.000 0.000 0.000
8 Pt 0.750 0.250 0.500

Most stable = version one

Version one
First-principles (PBE) data for crystalline Na3HfPt at its relaxed geometry, as listed in Alexandria.

Output
- Spin magnetization: 2.45 μB per cell
- ρ: 4.86 Mg/m³

a b c (Å): 5.328 5.328 5.328
angles (deg): 90.00 90.00 90.00
Each line ends with the local moment (μB).
Sites, in units of the cell vectors:
1 Na 0.000 0.500 0.000  0.02
2 Na 0.000 0.000 0.500  0.01
3 Na 0.500 0.000 0.000  0.01
4 Hf 0.500 0.500 0.500  1.20
5 Pt 0.000 0.000 0.000  0.01

Version two
First-principles (PBE) data for crystalline Na3HfPt at its relaxed geometry, as listed in Alexandria.

Output
- Spin magnetization: 3.00 μB per cell
- ρ: 3.66 Mg/m³

a b c (Å): 5.855 5.855 5.855
angles (deg): 90.00 90.00 90.00
Each line ends with the local moment (μB).
Sites, in units of the cell vectors:
1 Na 0.000 0.500 0.000  0.06
2 Na 0.000 0.000 0.500  0.04
3 Na 0.500 0.000 0.000  0.07
4 Hf 0.000 0.000 0.000  1.65
5 Pt 0.500 0.500 0.500  -0.27

Most stable = version one

Version one
First-principles (PBE) data for crystalline NaHfRe2 at its relaxed geometry, as listed in Alexandria.

Output
- Spin magnetization: 0.00 μB per cell
- ρ: 12.76 Mg/m³

a b c (Å): 7.492 7.492 5.929
angles (deg): 50.81 50.81 90.00
Sites, in units of the cell vectors:
1 Re 0.628 0.125 0.250
2 Re 0.122 0.625 0.250
3 Re 0.375 0.372 0.750
4 Re 0.875 0.878 0.750
5 Hf 0.000 0.000 0.000
6 Hf 0.750 0.250 0.500
7 Na 0.500 0.500 0.000
8 Na 0.250 0.750 0.500

Version two
First-principles (PBE) data for crystalline NaHfRe2 at its relaxed geometry, as listed in Alexandria.

Output
- Spin magnetization: 0.00 μB per cell
- ρ: 13.76 Mg/m³

a b c (Å): 4.609 4.609 4.609
angles (deg): 60.00 60.00 60.00
Sites, in units of the cell vectors:
1 Re 0.250 0.250 0.250
2 Re 0.750 0.750 0.750
3 Hf 0.500 0.500 0.500
4 Na 0.000 0.000 0.000

Most stable = version two

Version one
First-principles (PBE) data for crystalline Na3HfRe at its relaxed geometry, as listed in Alexandria.

Output
- Spin magnetization: 0.00 μB per cell
- ρ: 4.62 Mg/m³

a b c (Å): 5.383 5.383 5.383
angles (deg): 90.00 90.00 90.00
Sites, in units of the cell vectors:
1 Re 0.500 0.500 0.500
2 Hf 0.000 0.000 0.000
3 Na 0.000 0.500 0.000
4 Na 0.000 0.000 0.500
5 Na 0.500 0.000 0.000

Version two
First-principles (PBE) data for crystalline Na3HfRe at its relaxed geometry, as listed in Alexandria.

Output
- Spin magnetization: 0.00 μB per cell
- ρ: 4.89 Mg/m³

a b c (Å): 5.280 5.280 5.280
angles (deg): 90.00 90.00 90.00
Sites, in units of the cell vectors:
1 Re 0.000 0.000 0.000
2 Hf 0.500 0.500 0.500
3 Na 0.000 0.500 0.000
4 Na 0.000 0.000 0.500
5 Na 0.500 0.000 0.000

Most stable = version two